[1]
The following is a DFT calculation (PBE) of crystalline Fe2SiOs at its relaxed geometry.

The value obtained for the calculated total energy is -8.520 eV per atom. For the volume, the calculation gives 12.08 Å³/atom.

It has space group F-43m (No. 216), with a = 5.781 Å, b = 5.781 Å, c = 5.781 Å, α = 90.00°, β = 90.00° and γ = 90.00°. The asymmetric unit holds Fe at (0.000, 0.000, 0.000), Fe at (0.250, 0.250, 0.250), Si at (0.000, 0.000, 0.500) and Os at (0.250, 0.250, 0.750).

=====

[2]
The following is a DFT calculation (PBE) of crystalline SmFeSi2Os at its relaxed geometry.

The value obtained for the calculated total energy is -7.691 eV per atom. For the volume, the calculation gives 16.37 Å³/atom.

It has space group I-4m2 (No. 119), with a = 4.072 Å, b = 4.072 Å, c = 9.869 Å, α = 90.00°, β = 90.00° and γ = 90.00°. The asymmetric unit holds Sm at (0.000, 0.000, 0.000), Fe at (0.000, 0.500, 0.250), Si at (0.000, 0.000, 0.369) and Os at (0.000, 0.500, 0.750).

=====

[3]
The following is a DFT calculation (PBE) of crystalline Sm2FeSi2Os at its relaxed geometry.

The value obtained for the calculated total energy is -7.249 eV per atom. For the volume, the calculation gives 19.31 Å³/atom.

It has space group P-4m2 (No. 115), with a = 4.111 Å, b = 4.111 Å, c = 6.853 Å, α = 90.00°, β = 90.00° and γ = 90.00°. The asymmetric unit holds Sm at (0.000, 0.500, 0.178), Fe at (0.000, 0.000, 0.500), Si at (0.000, 0.500, 0.681) and Os at (0.500, 0.500, 0.500).

=====

[4]
The following is a DFT calculation (PBE) of crystalline FeSn2Os at its relaxed geometry.

The value obtained for the calculated total energy is -6.189 eV per atom. For the volume, the calculation gives 18.14 Å³/atom.

It has space group F-43m (No. 216), with a = 6.621 Å, b = 6.621 Å, c = 6.621 Å, α = 90.00°, β = 90.00° and γ = 90.00°. The asymmetric unit holds Fe at (0.000, 0.000, 0.000), Sn at (0.000, 0.000, 0.500), Sn at (0.250, 0.250, 0.250) and Os at (0.250, 0.250, 0.750).

=====

[5]
The following is a DFT calculation (PBE) of crystalline FeTcSnOs at its relaxed geometry.

As for the relative energy among the computed polymorphs: 0.0000 eV per atom. The value obtained for the calculated total energy is -8.121 eV per atom. For the volume, the calculation gives 15.30 Å³/atom.

It has space group F-43m (No. 216), with a = 6.256 Å, b = 6.256 Å, c = 6.256 Å, α = 90.00°, β = 90.00° and γ = 90.00°. The asymmetric unit holds Fe at (0.000, 0.000, 0.000), Tc at (0.250, 0.250, 0.250), Sn at (0.250, 0.250, 0.750) and Os at (0.000, 0.000, 0.500).

=====

[6]
The following is a DFT calculation (PBE) of crystalline FeSnOsW at its relaxed geometry.

As for the relative energy among the computed polymorphs: 0.0000 eV per atom. The value obtained for the calculated total energy is -8.822 eV per atom. For the volume, the calculation gives 15.50 Å³/atom.

It has space group F-43m (No. 216), with a = 6.283 Å, b = 6.283 Å, c = 6.283 Å, α = 90.00°, β = 90.00° and γ = 90.00°. The asymmetric unit holds Fe at (0.000, 0.000, 0.000), Sn at (0.250, 0.250, 0.750), Os at (0.000, 0.000, 0.500) and W at (0.250, 0.250, 0.250).

=====

[7]
The following is a DFT calculation (PBE) of crystalline SrFeOs2 at its relaxed geometry.

The value obtained for the calculated total energy is -7.111 eV per atom. For the volume, the calculation gives 16.90 Å³/atom.

It has space group F-43m (No. 216), with a = 6.466 Å, b = 6.466 Å, c = 6.466 Å, α = 90.00°, β = 90.00° and γ = 90.00°. The asymmetric unit holds Sr at (0.000, 0.000, 0.000), Fe at (0.250, 0.250, 0.250), Os at (0.000, 0.000, 0.500) and Os at (0.250, 0.250, 0.750).

=====

[8]
The following is a DFT calculation (PBE) of crystalline Ta2FeOs at its relaxed geometry.

As for the relative energy among the computed polymorphs: 0.0000 eV per atom. The value obtained for the calculated total energy is -11.083 eV per atom. For the volume, the calculation gives 15.48 Å³/atom. As for the calculated formation energy: -0.273 eV/atom.

It has space group Fm-3m (No. 225), with a = 6.280 Å, b = 6.280 Å, c = 6.280 Å, α = 90.00°, β = 90.00° and γ = 90.00°. The asymmetric unit holds Ta at (0.250, 0.250, 0.250), Fe at (0.000, 0.000, 0.000) and Os at (0.000, 0.000, 0.500).

=====

[9]
The following is a DFT calculation (PBE) of crystalline Ta2FeOs at its relaxed geometry.

As for the relative energy among the computed polymorphs: 0.0205 eV per atom. The value obtained for the calculated total energy is -11.062 eV per atom. For the volume, the calculation gives 15.50 Å³/atom. As for the calculated formation energy: -0.252 eV/atom.

It has space group Imma (No. 74), with a = 6.250 Å, b = 6.306 Å, c = 6.291 Å, α = 90.00°, β = 90.00° and γ = 90.00°. The asymmetric unit holds Ta at (0.250, 0.000, 0.000), Fe at (0.000, 0.250, 0.248) and Os at (0.000, 0.250, 0.750).

=====

[10]
The following is a DFT calculation (PBE) of crystalline Ta2FeOs at its relaxed geometry.

As for the relative energy among the computed polymorphs: 0.0090 eV per atom. The value obtained for the calculated total energy is -11.074 eV per atom. For the volume, the calculation gives 15.44 Å³/atom. As for the calculated formation energy: -0.264 eV/atom.

It has space group Immm (No. 71), with a = 4.436 Å, b = 6.280 Å, c = 13.304 Å, α = 90.00°, β = 90.00° and γ = 90.00°. The asymmetric unit holds Ta at (0.000, 0.249, 0.000), Ta at (0.000, 0.250, 0.333), Fe at (0.000, 0.000, 0.166), Fe at (0.000, 0.000, 0.500), Os at (0.000, 0.500, 0.166) and Os at (0.000, 0.500, 0.500).

=====

[11]
The following is a DFT calculation (PBE) of crystalline Ta2FeOs at its relaxed geometry.

As for the relative energy among the computed polymorphs: 0.0000 eV per atom. The value obtained for the calculated total energy is -11.083 eV per atom. For the volume, the calculation gives 15.48 Å³/atom. As for the calculated formation energy: -0.273 eV/atom.

It has space group Fm-3m (No. 225), with a = 6.280 Å, b = 6.280 Å, c = 6.280 Å, α = 90.00°, β = 90.00° and γ = 90.00°. The asymmetric unit holds Ta at (0.250, 0.250, 0.250), Fe at (0.000, 0.000, 0.000) and Os at (0.000, 0.000, 0.500).

=====

[12]
The following is a DFT calculation (PBE) of crystalline TaTlFeOs at its relaxed geometry.

As for the relative energy among the computed polymorphs: 0.2717 eV per atom. The value obtained for the calculated total energy is -7.831 eV per atom. For the volume, the calculation gives 16.79 Å³/atom.

It has space group F-43m (No. 216), with a = 6.452 Å, b = 6.452 Å, c = 6.452 Å, α = 90.00°, β = 90.00° and γ = 90.00°. The asymmetric unit holds Ta at (0.000, 0.000, 0.000), Tl at (0.250, 0.250, 0.250), Fe at (0.000, 0.000, 0.500) and Os at (0.250, 0.250, 0.750).

=====

[13]
The following is a DFT calculation (PBE) of crystalline TaTlFeOs at its relaxed geometry.

As for the relative energy among the computed polymorphs: 0.0000 eV per atom. The value obtained for the calculated total energy is -8.103 eV per atom. For the volume, the calculation gives 15.98 Å³/atom.

It has space group F-43m (No. 216), with a = 6.347 Å, b = 6.347 Å, c = 6.347 Å, α = 90.00°, β = 90.00° and γ = 90.00°. The asymmetric unit holds Ta at (0.000, 0.000, 0.000), Tl at (0.000, 0.000, 0.500), Fe at (0.250, 0.250, 0.750) and Os at (0.250, 0.250, 0.250).

=====

[14]
The following is a DFT calculation (PBE) of crystalline TbFeOs at its relaxed geometry.

As for the relative energy among the computed polymorphs: 0.0000 eV per atom. The value obtained for the calculated total energy is -7.596 eV per atom. For the volume, the calculation gives 19.09 Å³/atom. As for the calculated formation energy: 0.458 eV/atom.

It has space group F-43m (No. 216), with a = 6.119 Å, b = 6.119 Å, c = 6.119 Å, α = 90.00°, β = 90.00° and γ = 90.00°. The asymmetric unit holds Tb at (0.000, 0.000, 0.000), Fe at (0.250, 0.250, 0.750) and Os at (0.000, 0.000, 0.500).

=====

[15]
The following is a DFT calculation (PBE) of crystalline FeTe4Os at its relaxed geometry.

The value obtained for the calculated total energy is -5.470 eV per atom. For the volume, the calculation gives 22.50 Å³/atom.

It has space group P2/m (No. 10), with a = 5.309 Å, b = 3.999 Å, c = 6.357 Å, α = 90.00°, β = 90.01° and γ = 90.00°. The asymmetric unit holds Fe at (0.000, 0.000, 0.000), Te at (0.219, 0.000, 0.641), Te at (0.269, 0.500, 0.131) and Os at (0.500, 0.500, 0.500).

=====

[16]
The following is a DFT calculation (PBE) of crystalline TlFeOsW at its relaxed geometry.

As for the relative energy among the computed polymorphs: 0.0000 eV per atom. The value obtained for the calculated total energy is -8.021 eV per atom. For the volume, the calculation gives 15.90 Å³/atom.

It has space group F-43m (No. 216), with a = 6.336 Å, b = 6.336 Å, c = 6.336 Å, α = 90.00°, β = 90.00° and γ = 90.00°. The asymmetric unit holds Tl at (0.000, 0.000, 0.000), Fe at (0.250, 0.250, 0.250), Os at (0.250, 0.250, 0.750) and W at (0.000, 0.000, 0.500).

=====

[17]
The following is a DFT calculation (PBE) of crystalline TlZnFeOs at its relaxed geometry.

As for the relative energy among the computed polymorphs: 0.0000 eV per atom. The value obtained for the calculated total energy is -5.149 eV per atom. For the volume, the calculation gives 15.62 Å³/atom.

It has space group F-43m (No. 216), with a = 6.298 Å, b = 6.298 Å, c = 6.298 Å, α = 90.00°, β = 90.00° and γ = 90.00°. The asymmetric unit holds Tl at (0.000, 0.000, 0.000), Zn at (0.250, 0.250, 0.750), Fe at (0.250, 0.250, 0.250) and Os at (0.000, 0.000, 0.500).

=====

[18]
The following is a DFT calculation (PBE) of crystalline ZrTlFeOs at its relaxed geometry.

As for the relative energy among the computed polymorphs: 0.0000 eV per atom. The value obtained for the calculated total energy is -7.354 eV per atom. For the volume, the calculation gives 17.22 Å³/atom.

It has space group F-43m (No. 216), with a = 6.507 Å, b = 6.507 Å, c = 6.507 Å, α = 90.00°, β = 90.00° and γ = 90.00°. The asymmetric unit holds Zr at (0.000, 0.000, 0.000), Tl at (0.000, 0.000, 0.500), Fe at (0.250, 0.250, 0.750) and Os at (0.250, 0.250, 0.250).

=====

[19]
The following is a DFT calculation (PBE) of crystalline ZrTlFeOs at its relaxed geometry.

As for the relative energy among the computed polymorphs: 0.1334 eV per atom. The value obtained for the calculated total energy is -7.221 eV per atom. For the volume, the calculation gives 17.91 Å³/atom.

It has space group F-43m (No. 216), with a = 6.593 Å, b = 6.593 Å, c = 6.593 Å, α = 90.00°, β = 90.00° and γ = 90.00°. The asymmetric unit holds Zr at (0.000, 0.000, 0.000), Tl at (0.250, 0.250, 0.250), Fe at (0.000, 0.000, 0.500) and Os at (0.250, 0.250, 0.750).

=====

[20]
The following is a DFT calculation (PBE) of crystalline TmFeOs at its relaxed geometry.

As for the relative energy among the computed polymorphs: 1.4975 eV per atom. The value obtained for the calculated total energy is -6.803 eV per atom. For the volume, the calculation gives 20.15 Å³/atom. As for the calculated formation energy: 1.200 eV/atom.

It has space group F-43m (No. 216), with a = 6.230 Å, b = 6.230 Å, c = 6.230 Å, α = 90.00°, β = 90.00° and γ = 90.00°. The asymmetric unit holds Tm at (0.000, 0.000, 0.000), Fe at (0.250, 0.250, 0.750) and Os at (0.250, 0.250, 0.250).

=====

[21]
The following is a DFT calculation (PBE) of crystalline TmFeOs at its relaxed geometry.

As for the relative energy among the computed polymorphs: 0.0000 eV per atom. The value obtained for the calculated total energy is -8.300 eV per atom. For the volume, the calculation gives 16.67 Å³/atom. As for the calculated formation energy: -0.297 eV/atom.

It has space group Imma (No. 74), with a = 5.144 Å, b = 5.219 Å, c = 7.449 Å, α = 90.00°, β = 90.00° and γ = 90.00°. The asymmetric unit holds Tm at (0.000, 0.250, 0.126), Fe at (0.250, 0.250, 0.750) and Os at (0.000, 0.000, 0.500).

=====

[22]
The following is a DFT calculation (PBE) of crystalline TmFeOs at its relaxed geometry.

As for the relative energy among the computed polymorphs: 0.6754 eV per atom. The value obtained for the calculated total energy is -7.625 eV per atom. For the volume, the calculation gives 18.30 Å³/atom. As for the calculated formation energy: 0.378 eV/atom.

It has space group F-43m (No. 216), with a = 6.033 Å, b = 6.033 Å, c = 6.033 Å, α = 90.00°, β = 90.00° and γ = 90.00°. The asymmetric unit holds Tm at (0.000, 0.000, 0.000), Fe at (0.250, 0.250, 0.750) and Os at (0.000, 0.000, 0.500).

=====

[23]
The following is a DFT calculation (PBE) of crystalline ZnFeOsW at its relaxed geometry.

As for the relative energy among the computed polymorphs: 0.0000 eV per atom. The value obtained for the calculated total energy is -8.376 eV per atom. For the volume, the calculation gives 13.66 Å³/atom. As for the calculated formation energy: 0.064 eV/atom.

It has space group F-43m (No. 216), with a = 6.024 Å, b = 6.024 Å, c = 6.024 Å, α = 90.00°, β = 90.00° and γ = 90.00°. The asymmetric unit holds Zn at (0.000, 0.000, 0.000), Fe at (0.250, 0.250, 0.250), Os at (0.250, 0.250, 0.750) and W at (0.000, 0.000, 0.500).

=====

[24]
The following is a DFT calculation (PBE) of crystalline YZnFeOs at its relaxed geometry.

As for the relative energy among the computed polymorphs: 0.0000 eV per atom. The value obtained for the calculated total energy is -6.589 eV per atom. For the volume, the calculation gives 17.11 Å³/atom. As for the calculated formation energy: 0.227 eV/atom.

It has space group F-43m (No. 216), with a = 6.493 Å, b = 6.493 Å, c = 6.493 Å, α = 90.00°, β = 90.00° and γ = 90.00°. The asymmetric unit holds Y at (0.000, 0.000, 0.000), Zn at (0.250, 0.250, 0.250), Fe at (0.000, 0.000, 0.500) and Os at (0.250, 0.250, 0.750).

=====

[25]
The following is a DFT calculation (PBE) of crystalline YZnFeOs at its relaxed geometry.

As for the relative energy among the computed polymorphs: 0.0784 eV per atom. The value obtained for the calculated total energy is -6.510 eV per atom. For the volume, the calculation gives 16.70 Å³/atom. As for the calculated formation energy: 0.306 eV/atom.

It has space group F-43m (No. 216), with a = 6.441 Å, b = 6.441 Å, c = 6.441 Å, α = 90.00°, β = 90.00° and γ = 90.00°. The asymmetric unit holds Y at (0.000, 0.000, 0.000), Zn at (0.000, 0.000, 0.500), Fe at (0.250, 0.250, 0.750) and Os at (0.250, 0.250, 0.250).

=====

[26]
The following is a DFT calculation (PBE) of crystalline FeP3 at its relaxed geometry.

As for the relative energy among the computed polymorphs: 0.3540 eV per atom. The value obtained for the calculated total energy is -5.546 eV per atom. For the volume, the calculation gives 13.41 Å³/atom.

It has space group I4/mmm (No. 139), with a = 3.592 Å, b = 3.592 Å, c = 8.315 Å, α = 90.00°, β = 90.00° and γ = 90.00°. The asymmetric unit holds Fe at (0.000, 0.000, 0.000), P at (0.000, 0.000, 0.500) and P at (0.000, 0.500, 0.250).